(1)
Re2IrCl | GGA-PBE | relaxed

## Properties
- Symmetry: No. 123
- Formation energy without anion corrections: 0.96 eV/atom
- Distance to the lowest polymorph of the same formula: 556 meV/atom
- Total magnetization: 0.00 μB per formula unit

Cell lengths 4.647, 4.647, 2.782 Å; angles 90.00, 90.00, 90.03 degrees
Atoms (fractional coordinates):
Cl 0.500 0.000 0.500
Ir 0.000 0.500 0.500
Re 0.000 0.000 0.000
Re 0.500 0.500 0.000

(2)
ReIrCl2 | GGA-PBE | relaxed

## Properties
- Symmetry: No. 225
- Formation energy without anion corrections: 1.52 eV/atom
- Distance to the lowest polymorph of the same formula: 1471 meV/atom
- Total magnetization: 0.00 μB per formula unit

Cell lengths 4.402, 4.402, 4.402 Å; angles 60.00, 60.00, 60.00 degrees
Atoms (fractional coordinates):
Re 0.000 0.000 0.000
Ir 0.500 0.500 0.500
Cl 0.250 0.250 0.250
Cl 0.750 0.750 0.750

(3)
Re2IrCl | GGA-PBE | relaxed

## Properties
- Symmetry: No. 71
- Formation energy without anion corrections: 0.94 eV/atom
- Distance to the lowest polymorph of the same formula: 536 meV/atom
- Total magnetization: 0.00 μB per formula unit

Cell lengths 5.289, 5.289, 5.289 Å; angles 149.25, 126.64, 62.86 degrees
Atoms (fractional coordinates):
Cl 0.750 0.250 0.500
Ir 0.250 0.750 0.500
Re 0.986 0.986 0.000
Re 0.514 0.514 0.000

(4)
Re2IrCl | GGA-PBE | relaxed

## Properties
- Symmetry: No. 47
- Formation energy without anion corrections: 0.54 eV/atom
- Distance to the lowest polymorph of the same formula: 131 meV/atom
- Total magnetization: 0.00 μB per formula unit

Cell lengths 3.764, 2.799, 6.364 Å; angles 90.00, 90.00, 90.00 degrees
Atoms (fractional coordinates):
Cl 0.500 0.250 0.250
Ir 0.500 0.750 0.750
Re 0.000 0.250 0.949
Re 0.000 0.250 0.551

(5)
Re2IrCl | GGA-PBE | relaxed

## Properties
- Symmetry: No. 47
- Formation energy without anion corrections: 1.09 eV/atom
- Distance to the lowest polymorph of the same formula: 680 meV/atom
- Total magnetization: 0.00 μB per formula unit

Cell lengths 2.784, 4.715, 4.694 Å; angles 90.00, 90.00, 90.00 degrees
Atoms (fractional coordinates):
Cl 0.500 0.000 0.500
Ir 0.000 0.500 0.500
Re 0.000 0.000 0.000
Re 0.500 0.500 0.000

(6)
ReIrCl2 | GGA-PBE | relaxed

## Properties
- Symmetry: No. 65
- Formation energy without anion corrections: 1.55 eV/atom
- Distance to the lowest polymorph of the same formula: 1498 meV/atom
- Total magnetization: 0.00 μB per formula unit

Cell lengths 4.854, 4.854, 2.834 Å; angles 90.00, 90.00, 108.94 degrees
Atoms (fractional coordinates):
Re 0.000 0.500 0.500
Ir 0.500 0.000 0.500
Cl 0.000 0.000 0.000
Cl 0.500 0.500 0.000

(7)
ReIrCl2 | GGA-PBE | relaxed

## Properties
- Symmetry: No. 166
- Formation energy without anion corrections: 0.88 eV/atom
- Distance to the lowest polymorph of the same formula: 828 meV/atom
- Total magnetization: 0.00 μB per formula unit

Cell lengths 9.458, 9.458, 9.458 Å; angles 17.52, 17.52, 17.52 degrees
Atoms (fractional coordinates):
Re 0.750 0.750 0.750
Ir 0.250 0.250 0.250
Cl 0.017 0.017 0.017
Cl 0.483 0.483 0.483

(8)
Re2IrCl | GGA-PBE | relaxed

## Properties
- Symmetry: No. 8
- Formation energy without anion corrections: 0.65 eV/atom
- Distance to the lowest polymorph of the same formula: 238 meV/atom
- Total magnetization: 0.00 μB per formula unit

Cell lengths 5.325, 5.325, 4.542 Å; angles 75.69, 75.69, 30.49 degrees
Atoms (fractional coordinates):
Cl 0.505 0.505 0.526
Ir 0.279 0.279 0.155
Re 0.013 0.013 0.099
Re 0.703 0.703 0.720